The following is a PBE-GGA calculation of a relaxed NbMoOs2 crystal, from Alexandria via LeMat-Bulk.

```
16
Lattice="6.3210 0.0000 0.0000 0.0000 6.3210 0.0000 0.0000 0.0000 6.3210" Properties=species:S:1:pos:R:3 pbc="T T T"
Nb 0.0000 0.0000 0.0000
Nb 0.0000 3.1605 3.1605
Nb 3.1605 0.0000 3.1605
Nb 3.1605 3.1605 0.0000
Mo 0.0000 0.0000 3.1605
Mo 0.0000 3.1605 0.0000
Mo 3.1605 0.0000 0.0000
Mo 3.1605 3.1605 3.1605
Os 1.5803 1.5803 1.5803
Os 1.5803 1.5803 4.7408
Os 1.5803 4.7408 1.5803
Os 1.5803 4.7408 4.7408
Os 4.7408 1.5803 1.5803
Os 4.7408 1.5803 4.7408
Os 4.7408 4.7408 1.5803
Os 4.7408 4.7408 4.7408
```

Summary:
DFT formation energy, eV per atom: 0.1718
Total DFT energy (no corrections), eV per atom: -10.67



The following is a PBE-GGA calculation of a relaxed Nb6MoOs3 crystal, from Alexandria via LeMat-Bulk.

```
10
Lattice="4.5959 -2.7218 0.0000 4.5959 2.7218 0.0000 -2.2032 0.0000 6.9001" Properties=species:S:1:pos:R:3 pbc="T T T"
Nb 2.6849 1.3478 1.3413
Nb 0.4787 0.0000 2.8900
Nb 4.3037 1.3478 5.5588
Nb 2.6849 -1.3478 1.3413
Nb 6.5099 0.0000 4.0101
Nb 4.3037 -1.3478 5.5588
Mo 0.0000 0.0000 0.0000
Os 1.9123 0.0000 5.6796
Os 3.4943 0.0000 3.4501
Os 5.0763 0.0000 1.2205
```

Summary:
DFT formation energy, eV per atom: 0.0067
Total DFT energy (no corrections), eV per atom: -10.49



The following is a PBE-GGA calculation of a relaxed NbMo2Os6 crystal, from Alexandria via LeMat-Bulk.

```
18
Lattice="6.2231 0.0000 0.0000 0.0000 6.6605 0.0000 -5.9428 0.0000 6.9401" Properties=species:S:1:pos:R:3 pbc="T T T"
Nb 0.0000 0.0000 0.0000
Nb -2.9714 3.3303 3.4700
Mo -2.4764 0.6545 5.8529
Mo 0.4949 2.6758 2.3828
Mo -0.2146 3.9847 4.5572
Mo 2.7568 6.0061 1.0872
Os -1.4475 1.0624 2.0783
Os -4.4189 2.2679 5.5483
Os 0.9581 4.2204 0.2447
Os -2.0133 5.7704 3.7148
Os -2.5273 4.2952 6.0332
Os 0.4440 5.6956 2.5631
Os -0.1637 0.9649 4.3769
Os 2.8077 2.3653 0.9069
Os 2.2936 0.8902 3.2253
Os -0.6777 2.4401 6.6954
Os 4.6992 4.3926 1.3917
Os 1.7278 5.5982 4.8618
```

Summary:
DFT formation energy, eV per atom: 0.2938
Total DFT energy (no corrections), eV per atom: -10.72



The following is a PBE-GGA calculation of a relaxed NbMo2Os crystal, from Alexandria via LeMat-Bulk.

```
16
Lattice="7.3136 0.0000 0.0000 0.0000 7.3136 0.0000 0.0000 0.0000 5.2286" Properties=species:S:1:pos:R:3 pbc="T T T"
Nb 0.0000 0.0000 0.0000
Nb 0.0000 3.6568 1.3071
Nb 3.6568 0.0000 3.9214
Nb 3.6568 3.6568 2.6143
Mo 1.6757 1.8284 3.2679
Mo 1.8284 5.3325 4.5750
Mo 1.8284 5.6378 1.9607
Mo 1.9811 1.8284 0.6536
Mo 5.3325 5.4852 0.6536
Mo 5.4852 1.6757 1.9607
Mo 5.4852 1.9811 4.5750
Mo 5.6378 5.4852 3.2679
Os 0.0000 0.0000 2.6143
Os 0.0000 3.6568 3.9214
Os 3.6568 0.0000 1.3071
Os 3.6568 3.6568 0.0000
```

Summary:
DFT formation energy, eV per atom: 0.6564
Total DFT energy (no corrections), eV per atom: -10.08



The following is a PBE-GGA calculation of a relaxed NbMo2Os crystal, from Alexandria via LeMat-Bulk.

```
16
Lattice="6.3442 0.0000 0.0000 0.0000 6.3442 0.0000 0.0000 0.0000 6.3442" Properties=species:S:1:pos:R:3 pbc="T T T"
Nb 0.0000 0.0000 0.0000
Nb 0.0000 3.1721 3.1721
Nb 3.1721 0.0000 3.1721
Nb 3.1721 3.1721 0.0000
Mo 1.5860 1.5860 1.5860
Mo 1.5860 1.5860 4.7581
Mo 1.5860 4.7581 1.5860
Mo 1.5860 4.7581 4.7581
Mo 4.7581 1.5860 1.5860
Mo 4.7581 1.5860 4.7581
Mo 4.7581 4.7581 1.5860
Mo 4.7581 4.7581 4.7581
Os 0.0000 0.0000 3.1721
Os 0.0000 3.1721 0.0000
Os 3.1721 0.0000 0.0000
Os 3.1721 3.1721 3.1721
```

Summary:
DFT formation energy, eV per atom: 0.0332
Total DFT energy (no corrections), eV per atom: -10.71



The following is a PBE-GGA calculation of a relaxed Nb6MoOs crystal, from Alexandria via LeMat-Bulk.

```
8
Lattice="5.2006 0.0000 0.0000 0.0051 5.2015 0.0000 0.0202 0.0019 5.2046" Properties=species:S:1:pos:R:3 pbc="T T T"
Nb 5.2008 1.2929 0.0005
Nb 0.0252 3.9105 5.2041
Nb 1.3041 2.6027 2.5985
Nb 2.6021 0.0005 1.3094
Nb 2.6239 5.2029 3.8952
Nb 3.9219 2.6007 2.6061
Mo 2.6029 2.6007 0.0000
Os 0.0101 0.0010 2.6023
```

Summary:
DFT formation energy, eV per atom: -0.1151
Total DFT energy (no corrections), eV per atom: -10.42